This record from Alexandria describes a relaxed structure of BaCaFe2. The functional is PBE-GGA.

a = 3.957 Å, b = 4.602 Å, c = 12.232 Å
α = 90.00°, β = 90.00°, γ = 90.00°
Fractional coordinates of all 8 atoms:
Ba 0.000 0.000 0.000
Ba 0.000 0.500 0.500
Ca 0.500 0.000 0.273
Ca 0.500 0.500 0.773
Fe 0.000 0.000 0.708
Fe 0.000 0.500 0.208
Fe 0.500 0.000 0.610
Fe 0.500 0.500 0.110

Computed properties:
- Space group: Amm2 (38)
- Fermi-level density of states: 4.35 states/eV/f.u.
- DFT formation energy: 44.68 kJ per mole of atoms
- Polymorph energy (0 for the lowest one): 19.1 meV/atom